# Sc2SiMo | Alexandria | PBE | relaxed
# M_tot	0.00	μB per cell
# volume	142.6	Å³/cell
# DOS at the Fermi energy	5.93	states/eV/cell
# formation energy from raw total energies	-0.1454	eV/atom
data_Sc2SiMo
_cell_length_a 4.067
_cell_length_b 4.098
_cell_length_c 8.559
_cell_angle_alpha 90.00
_cell_angle_beta 90.00
_cell_angle_gamma 90.00
_space_group_name_H-M_alt 'C m m m'
_space_group_IT_number 65
_space_group_name_Hall '-C 2 2'
loop_
_atom_site_label
_atom_site_type_symbol
_atom_site_fract_x
_atom_site_fract_y
_atom_site_fract_z
Sc1 Sc 0.000 0.000 0.235
Si1 Si 0.000 0.500 0.000
Mo1 Mo 0.000 0.500 0.500